Computed, not measured: NaURe after structural relaxation at the GGA-PBE level of DFT.

Results
**Symmetry**: F-43m, No. 216
**Polymorph energy (0 for the lowest one)**: 0.0 kJ/mol of atoms
**Total magnetization**: 0.080 μB/cell
**Density**: 11.11 Mg/m³
**Final energy**: -0.261 hartree per atom

Unit cell a=6.443 b=6.443 c=6.443 alpha=90.00 beta=90.00 gamma=90.00
Fractional coordinates of all 12 atoms:
Na  0.000  0.000  0.000
Na  0.000  0.500  0.500
Na  0.500  0.000  0.500
Na  0.500  0.500  0.000
U  0.000  0.000  0.500
U  0.000  0.500  0.000
U  0.500  0.000  0.000
U  0.500  0.500  0.500
Re  0.250  0.250  0.750
Re  0.250  0.750  0.250
Re  0.750  0.250  0.250
Re  0.750  0.750  0.750


Computed, not measured: NaYRe after structural relaxation at the GGA-PBE level of DFT.

Results
**Symmetry**: F-43m, No. 216
**Polymorph energy (0 for the lowest one)**: 0.0 kJ/mol of atoms
**Total magnetization**: 5.401 μB/cell
**Density**: 6.26 Mg/m³
**Final energy**: -0.197 hartree per atom

Unit cell a=6.815 b=6.815 c=6.815 alpha=90.00 beta=90.00 gamma=90.00
Fractional coordinates of all 12 atoms:
Na  0.000  0.000  0.000
Na  0.000  0.500  0.500
Na  0.500  0.000  0.500
Na  0.500  0.500  0.000
Y  0.000  0.000  0.500
Y  0.000  0.500  0.000
Y  0.500  0.000  0.000
Y  0.500  0.500  0.500
Re  0.250  0.250  0.250
Re  0.250  0.750  0.750
Re  0.750  0.250  0.750
Re  0.750  0.750  0.250


Computed, not measured: NaZnRe after structural relaxation at the GGA-PBE level of DFT.

Results
**Symmetry**: F-43m, No. 216
**Total magnetization**: 9.907 μB/cell
**Density**: 7.20 Mg/m³
**Final energy**: -0.123 hartree per atom

Unit cell a=6.327 b=6.327 c=6.327 alpha=90.00 beta=90.00 gamma=90.00
Fractional coordinates of all 12 atoms:
Na  0.000  0.000  0.000
Na  0.000  0.500  0.500
Na  0.500  0.000  0.500
Na  0.500  0.500  0.000
Zn  0.000  0.000  0.500
Zn  0.000  0.500  0.000
Zn  0.500  0.000  0.000
Zn  0.500  0.500  0.500
Re  0.250  0.250  0.250
Re  0.250  0.750  0.750
Re  0.750  0.250  0.750
Re  0.750  0.750  0.250


Computed, not measured: NaZrRe after structural relaxation at the GGA-PBE level of DFT.

Results
**Symmetry**: F-43m, No. 216
**Polymorph energy (0 for the lowest one)**: 0.0 kJ/mol of atoms
**Total magnetization**: 0.018 μB/cell
**Density**: 7.38 Mg/m³
**Final energy**: -0.226 hartree per atom

Unit cell a=6.465 b=6.465 c=6.465 alpha=90.00 beta=90.00 gamma=90.00
Fractional coordinates of all 12 atoms:
Na  0.000  0.000  0.000
Na  0.000  0.500  0.500
Na  0.500  0.000  0.500
Na  0.500  0.500  0.000
Zr  0.000  0.000  0.500
Zr  0.000  0.500  0.000
Zr  0.500  0.000  0.000
Zr  0.500  0.500  0.500
Re  0.250  0.250  0.250
Re  0.250  0.750  0.750
Re  0.750  0.250  0.750
Re  0.750  0.750  0.250